[1]
# SrZnCdSe3

SrZnCdSe3 after structural relaxation (GGA-PBE, OQMD via LeMat-Bulk).

Values from the calculation:
* space-group type: Cmcm (63)
* distance to the lowest polymorph of the same formula: 0 meV per atom
* raw total energy: -20.41 eV per formula unit

Lattice parameters (Å, degrees): 7.118 7.118 10.809 90.00 90.00 146.63
Element x y z (fractional)
1 Sr 0.245 0.755 0.750
2 Sr 0.755 0.245 0.250
3 Zn 0.469 0.531 0.250
4 Zn 0.531 0.469 0.750
5 Cd 0.000 0.000 0.000
6 Cd 0.000 0.000 0.500
7 Se 0.079 0.921 0.250
8 Se 0.363 0.637 0.066
9 Se 0.363 0.637 0.434
10 Se 0.637 0.363 0.566
11 Se 0.637 0.363 0.934
12 Se 0.921 0.079 0.750

[2]
# AgAsS3

AgAsS3 after structural relaxation (GGA-PBE, OQMD via LeMat-Bulk).

Values from the calculation:
* space-group type: R-3 (148)
* raw total energy: -19.40 eV per formula unit

Lattice parameters (Å, degrees): 7.186 7.186 7.186 51.52 51.52 51.52
Element x y z (fractional)
1 Ag 0.083 0.083 0.083
2 Ag 0.917 0.917 0.917
3 As 0.333 0.333 0.333
4 As 0.667 0.667 0.667
5 S 0.077 0.694 0.467
6 S 0.306 0.533 0.923
7 S 0.467 0.077 0.694
8 S 0.533 0.923 0.306
9 S 0.694 0.467 0.077
10 S 0.923 0.306 0.533

[3]
# Tm2H2BrCl3

Tm2H2BrCl3 after structural relaxation (GGA-PBE, OQMD via LeMat-Bulk).

Values from the calculation:
* space-group type: P3m1 (156)
* raw total energy: -36.44 eV per formula unit

Lattice parameters (Å, degrees): 3.699 3.699 14.253 90.00 90.00 120.00
Element x y z (fractional)
1 Tm 0.000 0.000 0.000
2 Tm 0.000 0.000 0.496
3 H 0.333 0.667 0.497
4 H 0.667 0.333 0.000
5 Br 0.667 0.333 0.631
6 Cl 0.333 0.667 0.122
7 Cl 0.333 0.667 0.878
8 Cl 0.667 0.333 0.375